MnIr2Pb | the Alexandria database | PBEsol | optimized geometry; final energy = -7.8337 eV per atom; size of the total moment = 3.97 μB per formula unit
1.0
5.617 0.000 0.000
0.000 9.280 0.000
-1.438 0.000 2.486
Mn Ir Pb
2 4 2
direct
0.000 0.000 0.000
0.500 0.500 0.000
0.250 0.250 0.500
0.250 0.750 0.500
0.750 0.250 0.500
0.750 0.750 0.500
0.000 0.500 0.000
0.500 0.000 0.000


MnSbIr2Pb | the Alexandria database | PBEsol | optimized geometry; uncorrected formation energy = 172.8 kJ per mole of atoms; final energy = -5.8022 eV per atom; size of the total moment = 4.32 μB per formula unit
1.0
4.956 0.000 0.000
0.000 4.956 0.000
0.000 0.000 4.850
Mn Sb Ir Pb
1 1 2 1
direct
0.000 0.000 0.000
0.500 0.500 0.000
0.000 0.500 0.500
0.500 0.000 0.500
0.000 0.000 0.500


Mn2ZnIrPb | the Alexandria database | PBEsol | optimized geometry; final energy = -6.0306 eV per atom; size of the total moment = 9.39 μB per formula unit
1.0
4.892 0.000 0.000
0.000 4.892 0.000
0.000 0.000 5.073
Mn Zn Ir Pb
2 1 1 1
direct
0.000 0.500 0.000
0.500 0.000 0.000
0.000 0.000 0.500
0.500 0.500 0.000
0.500 0.500 0.500


MnIr3Pd | the Alexandria database | PBEsol | optimized geometry; final energy = -6.7320 eV per atom; size of the total moment = 7.83 μB per formula unit
1.0
4.666 0.000 0.000
0.000 4.666 0.000
0.000 0.000 4.666
Mn Ir Pd
1 3 1
direct
0.000 0.000 0.000
0.000 0.500 0.500
0.500 0.000 0.500
0.500 0.500 0.000
0.500 0.500 0.500


Question: size of the total moment of number 4 (MnIr3Pd)?
Answer: 7.83 μB per formula unit


Question: Look up the final energy of the fourth one.
Answer: -6.7320 eV per atom


Question: Among the records above, which one has the lowest size of the total moment?
Answer: MnIr2Pb


Question: Which of these has the highest final energy?
Answer: MnSbIr2Pb